Computed, not measured: crystalline TaGePb2O6 at its relaxed geometry at the PBE level of DFT.

Cell lengths 5.6920, 5.6920, 5.6920 Å; angles 120.14, 120.14, 89.76 degrees
With the nearest neighbours (Å) after each atom.
Element x y z (fractional)
Pb1 0.7500 0.2500 0.5000  12 O 2.84-2.85
O1 0.7476 0.7476 0.0000  1 Ta 2.00, 1 Ge 2.04
O2 0.7484 0.7484 0.4969  1 Ta 2.00, 1 Ge 2.02
O3 0.7484 0.2516 0.0000  1 Ta 2.00, 1 Ge 2.02
Ge1 0.0000 0.0000 0.0000  6 O 2.02-2.04
Ta1 0.5000 0.5000 0.0000  6 O 2.00
O4 0.2524 0.2524 0.0000  1 Ta 2.00, 1 Ge 2.04
O5 0.2516 0.2516 0.5031  1 Ta 2.00, 1 Ge 2.02
O6 0.2516 0.7484 0.0000  1 Ta 2.00, 1 Ge 2.02
Pb2 0.2500 0.7500 0.5000  12 O 2.84-2.85

Results
- Energy relative to the lowest polymorph listed for this composition: 0.027 eV/atom
- Total energy: -7.011 eV per atom


Computed, not measured: crystalline ErSeCl at its relaxed geometry at the PBE level of DFT.

Cell lengths 4.0077, 5.6058, 7.7249 Å; angles 90.00, 90.00, 90.00 degrees
With the nearest neighbours (Å) after each atom.
Element x y z (fractional)
Er1 0.5000 0.0000 0.8490  2 Cl 2.64, 4 Se 2.82-2.85
Er2 0.0000 0.5000 0.1510  2 Cl 2.64, 4 Se 2.82-2.85
Se1 0.0000 0.0000 0.1122  4 Er 2.82-2.85
Cl1 0.0000 0.0000 0.6257  2 Er 2.64
Se2 0.5000 0.5000 0.8878  4 Er 2.82-2.85
Cl2 0.5000 0.5000 0.3743  2 Er 2.64

Results
- Total energy: -5.353 eV per atom


Computed, not measured: crystalline Lu2GaB at its relaxed geometry at the PBE level of DFT.

Cell lengths 3.4910, 3.4910, 15.7753 Å; angles 90.00, 90.00, 120.00 degrees
With the nearest neighbours (Å) after each atom.
Element x y z (fractional)
Lu1 0.3333 0.6667 0.4006  3 B 2.55
Ga1 0.6667 0.3333 0.2500  6 Lu 3.12
Ga2 0.3333 0.6667 0.7500  6 Lu 3.12
Lu2 0.6667 0.3333 0.5994  3 B 2.55
B1 0.0000 0.0000 0.0000  6 Lu 2.55
Lu3 0.3333 0.6667 0.0994  3 B 2.55
B2 0.0000 0.0000 0.5000  6 Lu 2.55
Lu4 0.6667 0.3333 0.9006  3 B 2.55

Results
- Total energy: -4.830 eV per atom


The lowest total energy belongs to which entry?
TaGePb2O6